{
  "formula": "K2BaMg2",
  "functional": "PBE-GGA",
  "state": "optimized geometry",
  "dos_at_fermi_per_ev_cell": 10.34,
  "m_tot_mub_per_atom": 0.00,
  "de_polymorph_mev_per_atom": 119.4,
  "space_group": "No. 139",
  "formation_energy_ev_per_atom": 0.30,
  "volume_a3_per_cell": 486,
  "energy_ev_per_fu": -5.80,
  "lattice_angstrom": [[6.392, 0.000, 0.000], [0.000, 6.392, 0.000], [0.000, 0.000, 11.906]],
  "species": ["K", "K", "K", "K", "Ba", "Ba", "Mg", "Mg", "Mg", "Mg"],
  "fractional_positions": [[0.000, 0.000, 0.138], [0.000, 0.000, 0.862], [0.500, 0.500, 0.362], [0.500, 0.500, 0.638], [0.000, 0.000, 0.500], [0.500, 0.500, 0.000], [0.000, 0.500, 0.250], [0.000, 0.500, 0.750], [0.500, 0.000, 0.250], [0.500, 0.000, 0.750]]
}